Below is an optimized crystal structure of Rb2AlTlRu, with properties calculated at the PBE level.

a b c (Å): 5.980 5.357 5.980
angles (deg): 90.00 90.00 90.00
Sites, in units of the cell vectors:
Rb  0.000  0.000  0.500
Rb  0.500  0.000  0.000
Al  0.500  0.500  0.500
Tl  0.000  0.500  0.000
Ru  0.000  0.000  0.000

## Properties
The formation energy comes out at 488 kJ/mol of formula units. The value obtained for the uncorrected energy is -2.453 eV/atom. The calculation puts the density of states at the Fermi level at 3.61 states/eV/cell.

---

Below is an optimized crystal structure of Tl2In2P, with properties calculated at the PBE level.

a b c (Å): 7.464 7.464 5.164
angles (deg): 90.00 90.00 90.00
Sites, in units of the cell vectors:
In  0.165  0.665  0.500
In  0.335  0.165  0.500
Tl  0.150  0.350  0.000
In  0.665  0.835  0.500
P  0.000  0.000  0.000
Tl  0.350  0.850  0.000
Tl  0.850  0.650  0.000
Tl  0.650  0.150  0.000
P  0.500  0.500  0.000
In  0.835  0.335  0.500

## Properties
The distance to the lowest polymorph of the same formula is 151.1 meV per atom. The formation energy comes out at 132 kJ/mol of formula units. The value obtained for the uncorrected energy is -2.850 eV/atom. The calculation puts the density of states at the Fermi level at 6.64 states/eV/cell.

---

What is the uncorrected energy in the first record? -2.453 eV/atom

---

Number 1 is which compound? Rb2AlTlRu

---

Which formula does entry 2 have? Tl2In2P